Compound: Te3Mo2S
Source: the Open Quantum Materials Database
Functional: GGA-PBE
Structure: relaxed

Properties
The symmetry is P3m1. Its total energy is -6.249 eV per atom.

a b c (Å): 3.461 3.461 14.217
angles (deg): 90.00 90.00 120.00
Positions (direct):
Te 0.667 0.333 0.623
Te 0.667 0.333 0.882
Te 0.000 0.000 0.370
Mo 0.667 0.333 0.238
Mo 0.000 0.000 0.752
S 0.000 0.000 0.136

***

Compound: BeCdGaFe
Source: the Open Quantum Materials Database
Functional: GGA-PBE
Structure: relaxed

Properties
The symmetry is F-43m. Its total energy is -3.633 eV per atom. For the energy above the lowest structure with this stoichiometry, the calculation gives 2.26 kJ per mole of atoms.

a b c (Å): 4.295 4.295 4.295
angles (deg): 60.00 60.00 60.00
Positions (direct):
Fe 0.750 0.750 0.750
Ga 0.000 0.000 0.000
Be 0.250 0.250 0.250
Cd 0.500 0.500 0.500

***

Compound: ScCuTeOs
Source: the Open Quantum Materials Database
Functional: GGA-PBE
Structure: relaxed

Properties
The symmetry is F-43m. Its total energy is -6.075 eV per atom. For the energy above the lowest structure with this stoichiometry, the calculation gives 0.00 kJ per mole of atoms.

a b c (Å): 4.596 4.596 4.596
angles (deg): 60.00 60.00 60.00
Positions (direct):
Cu 0.750 0.750 0.750
Os 0.250 0.250 0.250
Sc 0.000 0.000 0.000
Te 0.500 0.500 0.500

***

Compound: CsU2F7
Source: the Open Quantum Materials Database
Functional: GGA-PBE
Structure: relaxed

Properties
The symmetry is Cmmm. Its total energy is -6.865 eV per atom.

a b c (Å): 6.866 6.866 4.461
angles (deg): 90.00 90.00 117.33
Each line ends with the local moment (μB).
Positions (direct):
F 0.735 0.265 0.000  -0.01
F 0.948 0.675 0.500  0.00
F 0.325 0.052 0.500  0.00
F 0.265 0.735 0.000  -0.01
F 0.675 0.948 0.500  0.00
F 0.052 0.325 0.500  0.00
F 0.500 0.500 0.500  -0.01
U 0.307 0.693 0.500  2.82
U 0.693 0.307 0.500  2.82
Cs 0.000 0.000 0.000  0.01

***

Compound: BaYEr
Source: the Open Quantum Materials Database
Functional: GGA-PBE
Structure: relaxed

Properties
The symmetry is F-43m. Its total energy is -3.492 eV per atom. For the energy above the lowest structure with this stoichiometry, the calculation gives 0.00 kJ per mole of atoms.

a b c (Å): 5.781 5.781 5.781
angles (deg): 60.00 60.00 60.00
Positions (direct):
Y 0.750 0.750 0.750
Er 0.000 0.000 0.000
Ba 0.250 0.250 0.250

***

Compound: DyNiSb2
Source: the Open Quantum Materials Database
Functional: GGA-PBE
Structure: relaxed

Properties
The symmetry is P4/nmm. Its total energy is -5.296 eV per atom.

a b c (Å): 4.355 4.355 9.386
angles (deg): 90.00 90.00 90.00
Positions (direct):
Sb 0.500 0.000 0.357
Sb 0.500 0.500 0.000
Sb 0.000 0.000 0.000
Sb 0.000 0.500 0.643
Ni 0.500 0.500 0.500
Ni 0.000 0.000 0.500
Dy 0.500 0.000 0.738
Dy 0.000 0.500 0.262

***

Compound: Fe2BPb
Source: the Open Quantum Materials Database
Functional: GGA-PBE
Structure: relaxed

Properties
The symmetry is Pm-3m. Its total energy is -6.107 eV per atom.

a b c (Å): 5.899 5.899 5.899
angles (deg): 90.00 90.00 90.00
Each line ends with the local moment (μB).
Positions (direct):
B 0.500 0.500 0.000  -0.09
B 0.500 0.500 0.500  -0.15
B 0.000 0.500 0.500  -0.10
B 0.500 0.000 0.500  -0.10
Fe 0.297 0.297 0.703  1.97
Fe 0.703 0.703 0.297  1.97
Fe 0.703 0.703 0.703  1.98
Fe 0.297 0.297 0.297  1.98
Fe 0.703 0.297 0.703  1.94
Fe 0.297 0.703 0.703  1.94
Fe 0.297 0.703 0.297  1.94
Fe 0.703 0.297 0.297  1.94
Pb 0.000 0.000 0.000  -0.01
Pb 0.500 0.000 0.000  -0.05
Pb 0.000 0.500 0.000  -0.05
Pb 0.000 0.000 0.500  -0.06

***

Compound: NdHfNp
Source: the Open Quantum Materials Database
Functional: GGA-PBE
Structure: relaxed

Properties
The symmetry is F-43m. The formation energy is 1.153 eV/atom. Its total energy is -8.009 eV per atom. For the energy above the lowest structure with this stoichiometry, the calculation gives 0.00 kJ per mole of atoms.

a b c (Å): 4.993 4.993 4.993
angles (deg): 60.00 60.00 60.00
Positions (direct):
Hf 0.000 0.000 0.000
Np 0.750 0.750 0.750
Nd 0.250 0.250 0.250

***

Compound: Ba2PtN3
Source: the Open Quantum Materials Database
Functional: GGA-PBE
Structure: relaxed

Properties
The symmetry is Immm. Its total energy is -5.842 eV per atom.

a b c (Å): 7.474 7.474 7.474
angles (deg): 149.65 148.17 44.55
Positions (direct):
N 0.147 0.147 0.000
N 0.000 0.500 0.500
N 0.853 0.853 0.000
Pt 0.000 0.000 0.000
Ba 0.650 0.650 0.000
Ba 0.350 0.350 0.000

***

Compound: Sm2Fe17C3
Source: the Open Quantum Materials Database
Functional: GGA-PBE
Structure: relaxed

Properties
The symmetry is R-3m. Its total energy is -8.159 eV per atom.

a b c (Å): 6.513 6.513 6.513
angles (deg): 83.66 96.34 96.34
Each line ends with the local moment (μB).
Positions (direct):
C 0.500 0.000 0.500  -0.13
C 0.500 0.500 0.000  -0.14
C 0.000 0.500 0.500  -0.14
Sm 0.345 0.655 0.655  -0.20
Sm 0.655 0.345 0.345  -0.20
Fe 0.000 0.716 0.284  1.76
Fe 0.716 0.716 0.000  1.77
Fe 0.095 0.905 0.905  2.59
Fe 0.284 0.284 0.000  1.77
Fe 0.000 0.500 0.000  2.42
Fe 0.143 0.342 0.342  2.09
Fe 0.857 0.658 0.658  2.09
Fe 0.500 0.000 0.000  2.40
Fe 0.000 0.284 0.716  1.76
Fe 0.658 0.857 0.342  2.12
Fe 0.905 0.095 0.095  2.59
Fe 0.284 0.000 0.284  1.81
Fe 0.658 0.342 0.857  2.15
Fe 0.000 0.000 0.500  2.46
Fe 0.716 0.000 0.716  1.81
Fe 0.342 0.658 0.143  2.15
Fe 0.342 0.143 0.658  2.12

***

Compound: CuSiNi
Source: the Open Quantum Materials Database
Functional: GGA-PBE
Structure: relaxed

Properties
The symmetry is Pnma. Its total energy is -5.140 eV per atom.

a b c (Å): 4.986 3.781 7.287
angles (deg): 90.00 90.00 90.00
Positions (direct):
Si 0.192 0.750 0.875
Si 0.308 0.250 0.375
Si 0.692 0.750 0.625
Si 0.808 0.250 0.125
Cu 0.330 0.250 0.049
Cu 0.670 0.750 0.951
Cu 0.830 0.250 0.451
Cu 0.170 0.750 0.549
Ni 0.446 0.250 0.706
Ni 0.054 0.750 0.206
Ni 0.554 0.750 0.294
Ni 0.946 0.250 0.794

***

Compound: YTe2PbAuSe
Source: the Open Quantum Materials Database
Functional: GGA-PBE
Structure: relaxed

Properties
The symmetry is Cmcm. Its total energy is -4.646 eV per atom.

a b c (Å): 7.739 7.739 10.592
angles (deg): 90.00 90.00 148.17
Positions (direct):
Y 0.500 0.500 0.000
Y 0.500 0.500 0.500
Pb 0.751 0.249 0.250
Pb 0.249 0.751 0.750
Se 0.416 0.584 0.250
Se 0.584 0.416 0.750
Te 0.150 0.850 0.448
Te 0.150 0.850 0.052
Te 0.850 0.150 0.552
Te 0.850 0.150 0.948
Au 0.028 0.972 0.250
Au 0.972 0.028 0.750

***

The evaluated ρ for the records listed, in turn: 6.832; 7.323; 10.311; 6.594; 4.782; 8.670; 10.669; 10.560; 7.664; 7.866; 7.269; 8.210 g cm⁻³.